The following is a PBE calculation of crystalline CeDy8Sc5 at its relaxed geometry, from the Alexandria database.

Properties
total energy: -5.05 eV per atom
density: 6.710 Mg/m³

Cell and atoms, written as CIF:
```
data_CeDy8Sc5
_chemical_formula_sum 'Ce2 Dy16 Sc10'
_cell_length_a 9.223
_cell_length_b 9.223
_cell_length_c 9.686
_cell_angle_alpha 90.00
_cell_angle_beta 90.00
_cell_angle_gamma 90.00
_symmetry_space_group_name_H-M 'I -4'
_symmetry_Int_Tables_number 82
loop_
_symmetry_equiv_pos_as_xyz
'x,y,z'
'y,-x,-z'
'-x,-y,z'
'-y,x,-z'
'x+1/2,y+1/2,z+1/2'
'y+1/2,-x+1/2,-z+1/2'
'-x+1/2,-y+1/2,z+1/2'
'-y+1/2,x+1/2,-z+1/2'
loop_
_atom_site_label
_atom_site_type_symbol
_atom_site_fract_x
_atom_site_fract_y
_atom_site_fract_z
Ce1 Ce 0.000 0.000 0.000
Dy1 Dy 0.071 0.672 0.906
Dy2 Dy 0.086 0.821 0.246
Sc1 Sc 0.000 0.500 0.250
Sc2 Sc 0.106 0.795 0.572
```